Model a:
Density functional theory data (GGA-PBE) for a geometry-optimized MnTePdN2 structure.

Results
The density of states at the Fermi level is 5.05 states/eV per cell. The space group is P4/mmm (123). The value obtained for the calculated volume is 76 Å³/cell. The calculation puts the total moment at 0.0 Bohr magnetons per cell.

a b c (Å): 3.662 3.662 5.699
angles (deg): 90.00 90.00 90.00
Sites, in units of the cell vectors:
N (0.500, 0.000, 0.000)
N (0.000, 0.500, 0.000)
Pd (0.500, 0.500, 0.500)
Mn (0.000, 0.000, 0.000)
Te (0.000, 0.000, 0.500)

=====

Model b:
Density functional theory data (GGA-PBE) for a geometry-optimized MnTePdN2 structure.

Results
The density of states at the Fermi level is 6.95 states/eV per cell. The space group is P4/mmm (123). The value obtained for the calculated volume is 101 Å³/cell. The calculation puts the total moment at 1.4 Bohr magnetons per cell.

a b c (Å): 3.774 3.774 7.073
angles (deg): 90.00 90.00 90.00
Site moments in Bohr magnetons follow the coordinates.
Sites, in units of the cell vectors:
Te (0.000, 0.000, 0.500)  0.00
N (0.000, 0.500, 0.000)  -0.44
N (0.500, 0.000, 0.000)  -0.44
Mn (0.500, 0.500, 0.500)  0.06
Pd (0.000, 0.000, 0.000)  -0.18

=====

Preferred: model a; penalty for the next structure: 114.5 kJ/mol of atoms.

=====

Model a:
Density functional theory data (GGA-PBE) for a geometry-optimized PmMnN structure.

Results
The density of states at the Fermi level is 3.35 states/eV per cell. The space group is P4/nmm (129). The value obtained for the calculated volume is 100 Å³/cell. The calculation puts the total moment at 7.6 Bohr magnetons per cell.

a b c (Å): 3.593 3.593 7.782
angles (deg): 90.00 90.00 90.00
Site moments in Bohr magnetons follow the coordinates.
Sites, in units of the cell vectors:
N (0.000, 0.500, 0.156)  0.01
N (0.500, 0.000, 0.844)  0.01
Pm (0.500, 0.000, 0.160)  0.02
Pm (0.000, 0.500, 0.840)  0.02
Mn (0.500, 0.000, 0.591)  3.57
Mn (0.000, 0.500, 0.409)  3.57

=====

Model b:
Density functional theory data (GGA-PBE) for a geometry-optimized PmMnN structure.

Results
The density of states at the Fermi level is 2.92 states/eV per cell. The space group is P3m1 (156). The value obtained for the calculated volume is 45 Å³/cell. The calculation puts the total moment at 0.1 Bohr magnetons per cell.

a b c (Å): 4.866 3.255 3.255
angles (deg): 120.00 90.00 90.00
Site moments in Bohr magnetons follow the coordinates.
Sites, in units of the cell vectors:
N (0.093, 0.000, 0.000)  0.00
Mn (0.181, 0.333, 0.667)  0.10
Pm (0.726, 0.667, 0.333)  0.01

=====

Preferred: model a; penalty for the next structure: 42.7 kJ/mol of atoms.

=====

Model a:
Density functional theory data (GGA-PBE) for a geometry-optimized Pr2MnN4 structure.

Results
The density of states at the Fermi level is 10.19 states/eV per cell. The space group is Pnma (62). The value obtained for the calculated volume is 396 Å³/cell. The calculation puts the total moment at 3.8 Bohr magnetons per cell.

a b c (Å): 5.484 7.240 9.967
angles (deg): 90.00 90.00 90.00
Site moments in Bohr magnetons follow the coordinates.
Sites, in units of the cell vectors:
Mn (0.750, 0.278, 0.577)  0.76
Mn (0.250, 0.222, 0.077)  0.76
Mn (0.250, 0.722, 0.423)  0.76
Mn (0.750, 0.778, 0.923)  0.76
N (0.750, 0.016, 0.916)  0.00
N (0.496, 0.682, 0.852)  -0.01
N (0.996, 0.318, 0.148)  -0.01
N (0.750, 0.195, 0.412)  0.00
N (0.750, 0.516, 0.584)  0.00
N (0.504, 0.818, 0.352)  -0.01
N (0.996, 0.818, 0.352)  -0.01
N (0.250, 0.305, 0.912)  0.00
N (0.250, 0.984, 0.084)  0.00
N (0.750, 0.695, 0.088)  0.00
N (0.504, 0.318, 0.148)  -0.01
N (0.250, 0.484, 0.416)  0.00
N (0.250, 0.805, 0.588)  0.00
N (0.004, 0.682, 0.852)  -0.01
N (0.004, 0.182, 0.648)  -0.01
N (0.496, 0.182, 0.648)  -0.01
Pr (0.750, 0.010, 0.187)  0.01
Pr (0.250, 0.649, 0.072)  0.05
Pr (0.250, 0.490, 0.687)  0.01
Pr (0.750, 0.851, 0.572)  0.05
Pr (0.250, 0.149, 0.428)  0.05
Pr (0.250, 0.990, 0.813)  0.01
Pr (0.750, 0.510, 0.313)  0.01
Pr (0.750, 0.351, 0.928)  0.05

=====

Model b:
Density functional theory data (GGA-PBE) for a geometry-optimized Pr2MnN4 structure.

Results
The density of states at the Fermi level is 6.65 states/eV per cell. The space group is P2_1/m (11). The value obtained for the calculated volume is 208 Å³/cell. The calculation puts the total moment at 1.9 Bohr magnetons per cell.

a b c (Å): 5.681 5.428 7.092
angles (deg): 90.00 108.25 90.00
Site moments in Bohr magnetons follow the coordinates.
Sites, in units of the cell vectors:
N (0.071, 0.750, 0.352)  0.01
N (0.473, 0.995, 0.265)  0.00
N (0.929, 0.250, 0.648)  0.01
N (0.473, 0.505, 0.265)  0.00
N (0.527, 0.495, 0.735)  0.00
N (0.527, 0.005, 0.735)  0.00
N (0.882, 0.250, 0.046)  0.00
N (0.118, 0.750, 0.954)  0.00
Pr (0.219, 0.250, 0.436)  0.04
Pr (0.286, 0.250, 0.961)  0.04
Pr (0.714, 0.750, 0.039)  0.04
Pr (0.781, 0.750, 0.564)  0.04
Mn (0.730, 0.250, 0.793)  0.76
Mn (0.270, 0.750, 0.207)  0.76

=====

Preferred: model a; penalty for the next structure: 4.4 kJ/mol of atoms.

=====

Model a:
Density functional theory data (GGA-PBE) for a geometry-optimized Mn2RePtN structure.

Results
The density of states at the Fermi level is 7.92 states/eV per cell. The space group is P4/mmm (123). The value obtained for the calculated volume is 101 Å³/cell. The calculation puts the total moment at 5.7 Bohr magnetons per cell.

a b c (Å): 4.590 4.808 4.590
angles (deg): 90.00 90.00 90.00
Site moments in Bohr magnetons follow the coordinates.
Sites, in units of the cell vectors:
Pt (0.000, 0.500, 0.000)  -0.18
Mn (0.500, 0.000, 0.000)  3.22
Mn (0.000, 0.000, 0.500)  2.94
Re (0.000, 0.000, 0.000)  -0.70
N (0.500, 0.500, 0.500)  0.12

=====

Model b:
Density functional theory data (GGA-PBE) for a geometry-optimized Mn2RePtN structure.

Results
The density of states at the Fermi level is 4.18 states/eV per cell. The space group is P4/mmm (123). The value obtained for the calculated volume is 63 Å³/cell. The calculation puts the total moment at 5.5 Bohr magnetons per cell.

a b c (Å): 3.993 3.993 3.960
angles (deg): 90.00 90.00 90.00
Site moments in Bohr magnetons follow the coordinates.
Sites, in units of the cell vectors:
Re (0.000, 0.000, 0.500)  -0.52
N (0.000, 0.000, 0.000)  -0.04
Pt (0.500, 0.500, 0.500)  0.08
Mn (0.000, 0.500, 0.000)  2.95
Mn (0.500, 0.000, 0.000)  2.95

=====

Preferred: model b; penalty for the next structure: 238.6 kJ/mol of atoms.

=====

Model a:
Density functional theory data (GGA-PBE) for a geometry-optimized MnPtSe2N structure.

Results
The density of states at the Fermi level is 3.55 states/eV per cell. The space group is P4/mmm (123). The value obtained for the calculated volume is 80 Å³/cell. The calculation puts the total moment at 0.9 Bohr magnetons per cell.

a b c (Å): 4.860 4.860 3.405
angles (deg): 90.00 90.00 90.00
Site moments in Bohr magnetons follow the coordinates.
Sites, in units of the cell vectors:
Se (0.500, 0.000, 0.000)  -0.07
Se (0.000, 0.500, 0.000)  -0.07
Pt (0.500, 0.500, 0.500)  -0.09
Mn (0.000, 0.000, 0.000)  1.33
N (0.000, 0.000, 0.500)  -0.16

=====

Model b:
Density functional theory data (GGA-PBE) for a geometry-optimized MnPtSe2N structure.

Results
The density of states at the Fermi level is 2.77 states/eV per cell. The space group is P4/mmm (123). The value obtained for the calculated volume is 101 Å³/cell. The calculation puts the total moment at 4.7 Bohr magnetons per cell.

a b c (Å): 5.236 5.236 3.672
angles (deg): 90.00 90.00 90.00
Site moments in Bohr magnetons follow the coordinates.
Sites, in units of the cell vectors:
Se (0.500, 0.000, 0.000)  -0.02
Se (0.000, 0.500, 0.000)  -0.02
Pt (0.000, 0.000, 0.000)  -0.02
N (0.000, 0.000, 0.500)  0.01
Mn (0.500, 0.500, 0.500)  4.42

=====

Preferred: model a; penalty for the next structure: 19.8 kJ/mol of atoms.

=====

Model a:
Density functional theory data (GGA-PBE) for a geometry-optimized MnTe2PtN structure.

Results
The density of states at the Fermi level is 3.19 states/eV per cell. The space group is P4/mmm (123). The value obtained for the calculated volume is 116 Å³/cell. The calculation puts the total moment at 4.6 Bohr magnetons per cell.

a b c (Å): 5.611 5.611 3.683
angles (deg): 90.00 90.00 90.00
Site moments in Bohr magnetons follow the coordinates.
Sites, in units of the cell vectors:
N (0.000, 0.000, 0.500)  0.01
Pt (0.000, 0.000, 0.000)  -0.01
Te (0.500, 0.000, 0.000)  -0.03
Te (0.000, 0.500, 0.000)  -0.03
Mn (0.500, 0.500, 0.500)  4.34

=====

Model b:
Density functional theory data (GGA-PBE) for a geometry-optimized MnTe2PtN structure.

Results
The density of states at the Fermi level is 3.24 states/eV per cell. The space group is P4/mmm (123). The value obtained for the calculated volume is 90 Å³/cell. The calculation puts the total moment at 0.4 Bohr magnetons per cell.

a b c (Å): 5.141 5.141 3.417
angles (deg): 90.00 90.00 90.00
Site moments in Bohr magnetons follow the coordinates.
Sites, in units of the cell vectors:
Te (0.000, 0.500, 0.000)  -0.02
Te (0.500, 0.000, 0.000)  -0.02
Pt (0.500, 0.500, 0.500)  -0.01
N (0.000, 0.000, 0.500)  -0.04
Mn (0.000, 0.000, 0.000)  0.48

=====

Preferred: model b; penalty for the next structure: 32.9 kJ/mol of atoms.